(1)
The following is a PBE-GGA calculation of an optimized crystal structure of BaCdF2, from Alexandria.

Total magnetization   0.00 μB per formula unit

Cell lengths 6.947, 6.947, 6.947 Å; angles 90.00, 90.00, 90.00 degrees
Space group Fm-3m (No. 225)
Inequivalent atoms, fractional coordinates:
Ba  0.000  0.000  0.000 [4 per cell]
Cd  0.000  0.000  0.500 [4 per cell]
F  0.250  0.250  0.250 [8 per cell]

---

(2)
The following is a PBE-GGA calculation of an optimized crystal structure of BaCdF2, from Alexandria.

Total magnetization   0.00 μB per formula unit

Cell lengths 6.822, 6.822, 13.222 Å; angles 90.00, 90.00, 90.00 degrees
Space group I-42d (No. 122)
Inequivalent atoms, fractional coordinates:
Ba  0.000  0.000  0.000 [4 per cell]
Cd  0.000  0.000  0.500 [4 per cell]
F  0.105  0.250  0.125 [8 per cell]

---

(3)
The following is a PBE-GGA calculation of an optimized crystal structure of BaCdF2, from Alexandria.

Total magnetization   0.00 μB per formula unit

Cell lengths 4.2288, 4.2288, 25.4283 Å; angles 90.00, 90.00, 120.00 degrees
Space group R-3m (No. 166, hexagonal axes)
Inequivalent atoms, fractional coordinates:
Ba  0.0000  0.0000  0.0000 [3 per cell]
Cd  0.0000  0.0000  0.5000 [3 per cell]
F  0.0000  0.0000  0.3720 [6 per cell]

---

Ranking the structures above by stability puts (3) first and (1) last.